A plane-wave DFT calculation with PBEsol was carried out for NiH2O2 after structural relaxation.

a = 3.0767 Å, b = 3.0767 Å, c = 6.1579 Å
α = 75.53°, β = 75.53°, γ = 60.00°
With the nearest neighbours (Å) after each atom.
Sites, in units of the cell vectors:
H (0.5558, 0.5558, 0.3327)  1 O 0.97
H (0.4442, 0.4442, 0.6673)  1 O 0.97
Ni (0.0000, 0.0000, 0.0000)  6 O 2.03
O (0.3891, 0.3891, 0.8326)  1 H 0.97
O (0.6109, 0.6109, 0.1674)  1 H 0.97

Calculated values
ΔE to the lowest computed polymorph ... 40.3 meV/atom
VASP energy ... -5.4187 eV/atom
Total moment ... 1.99 μB/f.u.
Space group ... R-3m
DOS at the Fermi energy ... 0.06 states/eV per cell

A plane-wave DFT calculation with PBEsol was carried out for NiP2H8O10 after structural relaxation.

a = 5.1461 Å, b = 6.9655 Å, c = 9.8220 Å
α = 90.00°, β = 90.00°, γ = 92.12°
With the nearest neighbours (Å) after each atom.
Sites, in units of the cell vectors:
P (0.2540, 0.1602, 0.2827)  4 O 1.53-1.58
P (0.2460, 0.3398, 0.7827)  4 O 1.53-1.58
P (0.7460, 0.8398, 0.7173)  4 O 1.53-1.58
P (0.7540, 0.6602, 0.2173)  4 O 1.53-1.58
O (0.5392, 0.3766, 0.8247)  1 H 1.07
O (0.2760, 0.1366, 0.1278)  1 P 1.53, 1 H 1.58
O (0.3421, 0.3618, 0.3306)  1 H 1.39, 1 P 1.53
O (0.1579, 0.1382, 0.8306)  1 H 1.39, 1 P 1.53
O (0.0392, 0.8766, 0.6753)  1 H 1.07
O (0.9252, 0.5156, 0.1412)  1 H 1.04
O (0.8421, 0.8618, 0.1694)  1 H 1.39, 1 P 1.53
O (0.4252, 0.0156, 0.3588)  1 H 1.04
O (0.4608, 0.6234, 0.1753)  1 H 1.07
O (0.2396, 0.7101, 0.4682)  2 H 1.02-1.03
O (0.5748, 0.9844, 0.6412)  1 H 1.04
O (0.7604, 0.2899, 0.5318)  2 H 1.02-1.03
O (0.6579, 0.6382, 0.6694)  1 H 1.39, 1 P 1.53
O (0.7760, 0.6366, 0.3722)  1 P 1.53, 1 H 1.58
O (0.7396, 0.2101, 0.0318)  2 H 1.02-1.03
O (0.2604, 0.7899, 0.9682)  2 H 1.02-1.03
O (0.9608, 0.1234, 0.3247)  1 H 1.07
O (0.7240, 0.8634, 0.8722)  1 P 1.53, 1 H 1.58
O (0.0748, 0.4844, 0.8588)  1 H 1.04
O (0.2240, 0.3634, 0.6278)  1 P 1.53, 1 H 1.58
H (0.3154, 0.7294, 0.0574)  1 O 1.02
H (0.4357, 0.8344, 0.9263)  1 O 1.03
H (0.3452, 0.8877, 0.3981)  1 O 1.04
H (0.1548, 0.6123, 0.8981)  1 O 1.04
H (0.6846, 0.2706, 0.9426)  1 O 1.02
H (0.1221, 0.9942, 0.7333)  1 O 1.07
H (0.5643, 0.1656, 0.0737)  1 O 1.03
H (0.6221, 0.4942, 0.7667)  1 O 1.07
H (0.0643, 0.6656, 0.4263)  1 O 1.03
H (0.8452, 0.3877, 0.1019)  1 O 1.04
H (0.1846, 0.7706, 0.5574)  1 O 1.02
H (0.8779, 0.0058, 0.2667)  1 O 1.07
H (0.8154, 0.2294, 0.4426)  1 O 1.02
H (0.6548, 0.1123, 0.6019)  1 O 1.04
H (0.9357, 0.3344, 0.5737)  1 O 1.03
H (0.3779, 0.5058, 0.2333)  1 O 1.07
Ni (0.0000, 0.0000, 0.0000)  6 O 2.04-2.10
Ni (0.5000, 0.5000, 0.5000)  6 O 2.04-2.10

Calculated values
VASP energy ... -6.0245 eV/atom
Total moment ... 2.01 μB/f.u.
Space group ... P2_1/c

A plane-wave DFT calculation with PBEsol was carried out for NiPH15O11 after structural relaxation.

a = 5.9039 Å, b = 6.8099 Å, c = 11.1879 Å
α = 90.00°, β = 90.00°, γ = 90.00°
With the nearest neighbours (Å) after each atom.
Sites, in units of the cell vectors:
H (0.0103, 0.1185, 0.7093)  1 O 1.01
H (0.8413, 0.6738, 0.5255)  1 O 1.01
H (0.6268, 0.7399, 0.2223)  1 O 1.00
H (0.2879, 0.0000, 0.4223)  1 O 1.00
H (0.2156, 0.2858, 0.9006)  1 O 1.03
H (0.3732, 0.7601, 0.7223)  1 O 1.00
H (0.3694, 0.8172, 0.2340)  1 O 1.01
H (0.6306, 0.3172, 0.7340)  1 O 1.01
H (0.6306, 0.6828, 0.7340)  1 O 1.01
H (0.7844, 0.7858, 0.4006)  1 O 1.03
H (0.4992, 0.8787, 0.9863)  1 O 1.03
H (0.5008, 0.3787, 0.4863)  1 O 1.03
H (0.8413, 0.3262, 0.5255)  1 O 1.01
H (0.0103, 0.8815, 0.7093)  1 O 1.01
H (0.7121, 0.5000, 0.9223)  1 O 1.00
H (0.9897, 0.3815, 0.2093)  1 O 1.01
H (0.1587, 0.8262, 0.0255)  1 O 1.01
H (0.8186, 0.5000, 0.0582)  1 O 1.00
H (0.4992, 0.1213, 0.9863)  1 O 1.03
H (0.9897, 0.6185, 0.2093)  1 O 1.01
H (0.5008, 0.6213, 0.4863)  1 O 1.03
H (0.3694, 0.1828, 0.2340)  1 O 1.01
H (0.2449, 0.5000, 0.5308)  1 O 1.05
H (0.2156, 0.7142, 0.9006)  1 O 1.03
H (0.7551, 0.0000, 0.0308)  1 O 1.05
H (0.7844, 0.2142, 0.4006)  1 O 1.03
H (0.6268, 0.2601, 0.2223)  1 O 1.00
H (0.1814, 0.0000, 0.5582)  1 O 1.00
H (0.1587, 0.1738, 0.0255)  1 O 1.01
H (0.3732, 0.2399, 0.7223)  1 O 1.00
O (0.7663, 0.5000, 0.7744)  1 P 1.54, 3 H 1.55-1.68
O (0.5348, 0.2010, 0.7092)  2 H 1.00-1.01
O (0.0138, 0.5000, 0.5873)  1 H 1.50, 1 P 1.57
O (0.9862, 0.0000, 0.0873)  1 H 1.50, 1 P 1.57
O (0.2337, 0.0000, 0.2744)  1 P 1.54, 3 H 1.55-1.68
O (0.6030, 0.0000, 0.9813)  3 H 1.03-1.05
O (0.5348, 0.7990, 0.7092)  2 H 1.00-1.01
O (0.8693, 0.8110, 0.2717)  3 H 1.54-1.65, 1 P 1.55
O (0.4652, 0.7010, 0.2092)  2 H 1.00-1.01
O (0.1307, 0.3110, 0.7717)  3 H 1.54-1.65, 1 P 1.55
O (0.3970, 0.5000, 0.4813)  3 H 1.03-1.05
O (0.8693, 0.1890, 0.2717)  3 H 1.54-1.65, 1 P 1.55
O (0.0341, 0.5000, 0.1597)  2 H 1.01
O (0.6758, 0.5000, 0.0099)  2 H 1.00
O (0.2765, 0.2590, 0.9852)  2 H 1.01-1.03
O (0.7235, 0.2410, 0.4852)  2 H 1.01-1.03
O (0.7235, 0.7590, 0.4852)  2 H 1.01-1.03
O (0.9659, 0.0000, 0.6597)  2 H 1.01
O (0.1307, 0.6890, 0.7717)  3 H 1.54-1.65, 1 P 1.55
O (0.2765, 0.7410, 0.9852)  2 H 1.01-1.03
O (0.4652, 0.2990, 0.2092)  2 H 1.00-1.01
O (0.3242, 0.0000, 0.5099)  2 H 1.00
P (0.9881, 0.0000, 0.2272)  4 O 1.54-1.57
P (0.0119, 0.5000, 0.7272)  4 O 1.54-1.57
Ni (0.6326, 0.0000, 0.5927)  6 O 1.98-2.11
Ni (0.3674, 0.5000, 0.0927)  6 O 1.98-2.11

Calculated values
VASP energy ... -5.4414 eV/atom
Total moment ... 2.01 μB/f.u.
Space group ... Pmn2_1